Below is Ca2FeAs2F after structural relaxation, with properties calculated at the GGA+U level.

The structure in POSCAR format:
```
Ca2FeAs2F
1.0
3.2541 0.0000 0.0000
0.0000 3.2541 0.0000
0.0000 0.0000 14.8901
Ca Fe As F
2 1 2 1
Direct
0.0000 0.0000 0.1434
0.0000 0.0000 0.8566
0.0000 0.0000 0.5000
0.0000 0.0000 0.3350
0.0000 0.0000 0.6650
0.0000 0.0000 0.0000
```

Output
Total DFT energy (no corrections): -23.2 eV per cell
Space-group type: P4/mmm, No. 123
N(E_F): 3.62 states/eV/cell